(1)
Computed, not measured: crystalline Tm3BiOs at its relaxed geometry at the PBE level of DFT.

Computed properties:
**Fermi-level density of states**: 0.43 states/eV/atom
**ΔH_f (0 K)**: -431 meV per atom

a b c (Å): 14.8446 4.8774 8.7548
angles (deg): 90.00 121.40 90.00
Closest atoms and distances in Å follow each position.
Space group C2/m (No. 12)
Unique sites:
Tm1 0.0686 0.0000 0.2123 x4  2 Os 2.86-2.98, 1 Tm 3.17, 2 Bi 3.20
Tm2 0.1014 0.5000 0.8082 x4  3 Os 2.85-2.94, 2 Bi 3.17, 1 Tm 3.17
Tm3 0.2502 0.0000 0.7687 x4  3 Os 2.91-2.98, 1 Tm 3.17, 2 Bi 3.23
Bi1 0.1428 0.5000 0.4878 x4  7 Tm 3.17-3.36
Os1 0.1668 0.0000 0.0043 x4  8 Tm 2.85-2.98

(2)
Computed, not measured: crystalline LaTc2OsBr at its relaxed geometry at the PBE level of DFT.

Computed properties:
**Uncorrected formation energy**: 757 meV/atom
**Fermi-level density of states**: 0.91 states/eV/atom

a b c (Å): 4.7276 4.7276 5.9247
angles (deg): 90.00 90.00 90.00
Closest atoms and distances in Å follow each position.
Space group P4/mmm (No. 123)
Unique sites:
La1 0.0000 0.0000 0.0000 x1  2 Os 2.96
Tc1 0.0000 0.5000 0.5000 x2  2 Os 2.36
Os1 0.0000 0.0000 0.5000 x1  4 Tc 2.36
Br1 0.5000 0.5000 0.0000 x1  4 La 3.34

(3)
Computed, not measured: crystalline YNi2Pt at its relaxed geometry at the PBE level of DFT.

Computed properties:
**Fermi-level density of states**: 1.13 states/eV/atom
**ΔH_f (0 K)**: -524 meV per atom

a b c (Å): 7.3722 4.2568 5.0576
angles (deg): 90.00 119.39 90.00
Closest atoms and distances in Å follow each position.
Space group C2/m (No. 12)
Unique sites:
Y1 0.0000 0.0000 0.0000 x2  2 Ni 2.64
Ni1 0.2000 0.0000 0.5997 x4  3 Pt 2.50, 3 Ni 2.61, 1 Y 2.64
Pt1 0.0000 0.5000 0.5000 x2  6 Ni 2.50

(4)
Computed, not measured: crystalline CrFe2P at its relaxed geometry at the PBE level of DFT.

Computed properties:
**Fermi-level density of states**: 1.05 states/eV/atom
**ΔH_f (0 K)**: 29 meV per atom

a b c (Å): 4.7938 8.0164 2.6059
angles (deg): 90.00 115.69 90.00
Closest atoms and distances in Å follow each position.
Space group C2/m (No. 12)
Unique sites:
Cr1 0.0000 0.0000 0.0000 x2  4 P 2.40-2.67, 4 Fe 2.41, 2 Cr 2.61
Fe1 0.2500 0.2500 0.5000 x4  6 Fe 2.40-2.67, 2 Cr 2.41, 2 P 2.41
P1 0.0000 0.5000 0.0000 x2  4 Cr 2.40-2.67, 4 Fe 2.41, 2 P 2.61

(5)
Computed, not measured: crystalline P2PdCl8 at its relaxed geometry at the PBE level of DFT.

Computed properties:
**Excess energy over the best structure of this formula in the dataset**: 0 meV per atom
**Uncorrected formation energy**: -674 meV/atom

a b c (Å): 13.0654 8.7603 8.6106
angles (deg): 90.00 128.68 90.00
Closest atoms and distances in Å follow each position.
Space group C2/m (No. 12)
Unique sites:
P1 0.2255 0.0000 0.1887 x4  3 Cl 2.02
Pd1 0.0000 0.0000 0.0000 x2  2 P 2.31, 2 Cl 2.31
Cl1 0.0384 0.0000 0.3013 x4  1 Pd 2.31
Cl2 0.1862 0.3181 0.6293 x8  1 P 2.02
Cl3 0.1991 0.5000 0.9572 x4  1 P 2.02

(6)
Computed, not measured: crystalline BaCuHg2Mo at its relaxed geometry at the PBE level of DFT.

Computed properties:
**Fermi-level density of states**: 1.20 states/eV/atom
**ΔH_f (0 K)**: 394 meV per atom

a b c (Å): 5.4072 5.4072 4.8468
angles (deg): 90.00 90.00 90.00
Closest atoms and distances in Å follow each position.
Space group P4/mmm (No. 123)
Unique sites:
Ba1 0.0000 0.0000 0.0000 x1  8 Hg 3.63, 4 Cu 3.82
Cu1 0.5000 0.5000 0.0000 x1  2 Mo 2.42
Hg1 0.0000 0.5000 0.5000 x2  2 Mo 2.70
Mo1 0.5000 0.5000 0.5000 x1  2 Cu 2.42, 4 Hg 2.70

no.,total moment (μB/f.u.)
1,0.0
2,2.9
3,0.0
4,3.0
5,0.0
6,0.0